Crystalline SrLaTe2 at its relaxed geometry, computed with GGA-PBE.

Lattice parameters (Å, degrees): 7.487 7.487 7.487 144.45 144.45 51.15
Fractional coordinates of all 4 atoms:
Sr1 0.000 0.000 0.000
La1 0.750 0.250 0.500
Te1 0.250 0.750 0.500
Te2 0.500 0.500 0.000

## Properties
- VASP energy: -17.9 eV/cell
- Crystal system: tetragonal
- Formation energy (no corrections): -121.1 kJ/mol of atoms
- Distance to the lowest polymorph of the same formula: 1.61 eV per formula unit
- D(E_F): 3.21 states/eV per cell
- Total magnetic moment: 0.3 μB per formula unit
- Space group: I-4m2, No. 119